(1)
A geometry-optimized NaLaHo4O8 structure, computed with PBE-GGA.

abc: 6.818 6.818 6.957
angles: 60.66 60.66 60.00
Sites, in units of the cell vectors:
Na: 0.378 0.378 0.866
La: 0.002 0.002 0.994
Ho: 0.624 0.624 0.128
Ho: 0.003 0.491 0.503
Ho: 0.491 0.003 0.503
Ho: 0.003 0.003 0.503
O: 0.240 0.801 0.719
O: 0.801 0.240 0.719
O: 0.240 0.240 0.719
O: 0.232 0.232 0.304
O: 0.748 0.233 0.271
O: 0.233 0.748 0.271
O: 0.748 0.748 0.271
O: 0.756 0.756 0.731

Summary:
raw formation energy	-3241	meV per atom
space-group type	R3m
D(E_F)	0.00	states/eV/f.u.
total magnetization	0.000	Bohr magnetons per cell

***

(2)
A geometry-optimized Li4SCl2 structure, computed with PBE-GGA.

abc: 4.609 4.609 7.385
angles: 108.18 108.18 90.00
Sites, in units of the cell vectors:
S: 0.000 0.000 0.000
Li: 0.824 0.824 0.648
Li: 0.176 0.176 0.352
Li: 0.000 0.500 0.000
Li: 0.500 0.000 0.000
Cl: 0.652 0.652 0.303
Cl: 0.348 0.348 0.697

Summary:
raw formation energy	-1456	meV per atom
space-group type	I4/mmm
D(E_F)	0.00	states/eV/f.u.
total magnetization	0.000	Bohr magnetons per cell

***

(3)
A geometry-optimized K2Pr2RhO6 structure, computed with PBE-GGA.

abc: 5.999 5.999 6.605
angles: 97.15 97.15 119.39
Sites, in units of the cell vectors:
K: 0.847 0.153 0.000
K: 0.153 0.847 0.000
Pr: 0.336 0.664 0.500
Pr: 0.664 0.336 0.500
Rh: 0.000 0.000 0.500
O: 0.762 0.762 0.679
O: 0.042 0.344 0.673
O: 0.238 0.238 0.321
O: 0.344 0.042 0.673
O: 0.958 0.656 0.327
O: 0.656 0.958 0.327

Summary:
raw formation energy	-1998	meV per atom
space-group type	C2/m
D(E_F)	8.31	states/eV/f.u.
total magnetization	1.056	Bohr magnetons per cell

***

(4)
A geometry-optimized B5C structure, computed with PBE-GGA.

abc: 4.806 4.951 5.597
angles: 108.31 112.83 42.82
Sites, in units of the cell vectors:
B: 0.108 0.974 0.030
B: 0.354 0.664 0.313
B: 0.435 0.200 0.164
B: 0.610 0.041 0.498
B: 0.640 0.709 0.252
B: 0.815 0.550 0.586
B: 0.896 0.086 0.437
B: 0.142 0.776 0.720
B: 0.643 0.032 0.864
B: 0.607 0.718 0.886
C: 0.284 0.364 0.658
C: 0.966 0.386 0.092

Summary:
space-group type	P-1
excess energy over the best structure of this formula in the dataset	215	meV/atom
D(E_F)	0.25	states/eV/f.u.
total magnetization	0.000	Bohr magnetons per cell
formation enthalpy at 0 K	0.41	eV per atom

***

(5)
A geometry-optimized Hf3Ga3Ni2 structure, computed with PBE-GGA.

abc: 5.283 7.381 13.614
angles: 90.00 90.00 90.00
Sites, in units of the cell vectors:
Hf: 0.117 0.471 0.386
Hf: 0.617 0.029 0.614
Hf: 0.883 0.529 0.886
Hf: 0.383 0.971 0.114
Hf: 0.883 0.529 0.614
Hf: 0.383 0.971 0.386
Hf: 0.117 0.471 0.114
Hf: 0.617 0.029 0.886
Hf: 0.639 0.326 0.250
Hf: 0.139 0.174 0.750
Hf: 0.361 0.674 0.750
Hf: 0.861 0.826 0.250
Ga: 0.133 0.186 0.250
Ga: 0.633 0.314 0.750
Ga: 0.867 0.814 0.750
Ga: 0.367 0.686 0.250
Ga: 0.599 0.306 0.465
Ga: 0.099 0.194 0.535
Ga: 0.401 0.694 0.965
Ga: 0.901 0.806 0.035
Ga: 0.401 0.694 0.535
Ga: 0.901 0.806 0.465
Ga: 0.599 0.306 0.035
Ga: 0.099 0.194 0.965
Ni: 0.871 0.093 0.387
Ni: 0.371 0.407 0.613
Ni: 0.129 0.907 0.887
Ni: 0.629 0.593 0.113
Ni: 0.129 0.907 0.613
Ni: 0.629 0.593 0.387
Ni: 0.871 0.093 0.113
Ni: 0.371 0.407 0.887

Summary:
space-group type	Pnma
D(E_F)	4.93	states/eV/f.u.
total magnetization	0.000	Bohr magnetons per cell
formation enthalpy at 0 K	-0.53	eV per atom

***

(6)
A geometry-optimized DyPuGaTc structure, computed with PBE-GGA.

abc: 4.924 4.924 4.924
angles: 60.00 60.00 60.00
Sites, in units of the cell vectors:
Dy: 0.000 0.000 0.000
Tc: 0.750 0.750 0.750
Ga: 0.250 0.250 0.250
Pu: 0.500 0.500 0.500

Summary:
space-group type	F-43m
D(E_F)	9.12	states/eV/f.u.
total magnetization	4.788	Bohr magnetons per cell
formation enthalpy at 0 K	-0.10	eV per atom

***

(7)
A geometry-optimized HfAl5Ir6 structure, computed with PBE-GGA.

abc: 4.216 6.541 7.408
angles: 116.20 106.53 90.00
Sites, in units of the cell vectors:
Ir: 0.830 0.573 0.661
Ir: 0.831 0.088 0.661
Ir: 0.500 0.736 0.000
Ir: 0.500 0.264 0.000
Ir: 0.169 0.912 0.339
Ir: 0.170 0.427 0.339
Hf: 0.000 0.000 0.000
Al: 0.666 0.166 0.333
Al: 0.331 0.331 0.662
Al: 0.000 0.500 0.000
Al: 0.669 0.669 0.338
Al: 0.334 0.834 0.667

Summary:
space-group type	Immm
D(E_F)	2.64	states/eV/f.u.
total magnetization	0.000	Bohr magnetons per cell
formation enthalpy at 0 K	-0.93	eV per atom

***

(8)
A geometry-optimized CaCd2RuO6 structure, computed with PBE-GGA.

abc: 5.622 5.695 8.158
angles: 90.00 90.71 90.00
Sites, in units of the cell vectors:
Ca: 0.500 0.000 0.000
Ca: 0.000 0.500 0.500
Cd: 0.995 0.961 0.257
Cd: 0.495 0.539 0.757
Cd: 0.005 0.039 0.743
Cd: 0.505 0.461 0.243
Ru: 0.500 0.000 0.500
Ru: 0.000 0.500 0.000
O: 0.295 0.659 0.045
O: 0.795 0.841 0.545
O: 0.705 0.341 0.955
O: 0.205 0.159 0.455
O: 0.352 0.710 0.428
O: 0.852 0.790 0.928
O: 0.648 0.290 0.572
O: 0.148 0.210 0.072
O: 0.895 0.575 0.226
O: 0.395 0.925 0.726
O: 0.105 0.425 0.774
O: 0.605 0.075 0.274

Summary:
raw formation energy	-1317	meV per atom
space-group type	P2_1/c
D(E_F)	4.53	states/eV/f.u.
total magnetization	3.942	Bohr magnetons per cell

***

(9)
A geometry-optimized TcNi2Rh5 structure, computed with PBE-GGA.

abc: 6.397 6.397 7.049
angles: 116.98 116.98 90.00
Sites, in units of the cell vectors:
Tc: 0.750 0.750 0.500
Tc: 0.250 0.250 0.500
Ni: 0.137 0.363 0.000
Ni: 0.637 0.137 0.000
Ni: 0.363 0.863 0.000
Ni: 0.863 0.637 0.000
Rh: 0.493 0.688 0.681
Rh: 0.812 0.007 0.319
Rh: 0.000 0.000 0.000
Rh: 0.500 0.500 0.000
Rh: 0.188 0.993 0.681
Rh: 0.688 0.188 0.681
Rh: 0.993 0.493 0.681
Rh: 0.312 0.812 0.319
Rh: 0.007 0.507 0.319
Rh: 0.507 0.312 0.319

Summary:
space-group type	I4/mcm
D(E_F)	12.00	states/eV/f.u.
total magnetization	0.000	Bohr magnetons per cell
formation enthalpy at 0 K	0.14	eV per atom

***

(10)
A geometry-optimized TbSi2Ni4 structure, computed with PBE-GGA.

abc: 3.952 6.090 16.009
angles: 90.00 90.00 90.00
Sites, in units of the cell vectors:
Tb: 0.750 0.996 0.640
Tb: 0.250 0.004 0.360
Tb: 0.250 0.496 0.860
Tb: 0.750 0.504 0.140
Si: 0.250 0.738 0.540
Si: 0.750 0.262 0.460
Si: 0.750 0.238 0.960
Si: 0.250 0.762 0.040
Si: 0.250 0.977 0.783
Si: 0.750 0.023 0.217
Si: 0.750 0.477 0.717
Si: 0.250 0.523 0.283
Ni: 0.250 0.281 0.699
Ni: 0.750 0.719 0.301
Ni: 0.750 0.781 0.801
Ni: 0.250 0.219 0.199
Ni: 0.250 0.681 0.688
Ni: 0.750 0.319 0.312
Ni: 0.750 0.181 0.812
Ni: 0.250 0.819 0.188
Ni: 0.250 0.146 0.525
Ni: 0.750 0.854 0.475
Ni: 0.750 0.646 0.975
Ni: 0.250 0.354 0.025
Ni: 0.250 0.492 0.428
Ni: 0.750 0.508 0.572
Ni: 0.750 0.992 0.072
Ni: 0.250 0.008 0.928

Summary:
raw formation energy	-571	meV per atom
space-group type	Pnma
excess energy over the best structure of this formula in the dataset	43	meV/atom
D(E_F)	4.34	states/eV/f.u.
total magnetization	0.000	Bohr magnetons per cell

***

(11)
A geometry-optimized Li3MgAg5 structure, computed with PBE-GGA.

abc: 5.635 7.937 7.938
angles: 120.02 90.00 90.00
Sites, in units of the cell vectors:
Li: 0.750 0.350 0.350
Li: 0.750 0.000 0.650
Li: 0.750 0.650 0.000
Li: 0.250 0.650 0.650
Li: 0.250 0.000 0.350
Li: 0.250 0.350 0.000
Mg: 0.000 0.000 0.000
Mg: 0.500 0.000 0.000
Ag: 0.000 0.667 0.333
Ag: 0.500 0.333 0.667
Ag: 0.000 0.333 0.667
Ag: 0.500 0.667 0.333
Ag: 0.750 0.680 0.680
Ag: 0.750 0.000 0.320
Ag: 0.750 0.320 0.000
Ag: 0.250 0.320 0.320
Ag: 0.250 0.000 0.680
Ag: 0.250 0.680 0.000

Summary:
space-group type	P6_3/mcm
excess energy over the best structure of this formula in the dataset	0	meV/atom
D(E_F)	3.41	states/eV/f.u.
total magnetization	0.000	Bohr magnetons per cell
formation enthalpy at 0 K	-0.16	eV per atom

***

(12)
A geometry-optimized CePm3Al8 structure, computed with PBE-GGA.

abc: 5.638 5.638 9.284
angles: 90.00 90.00 120.00
Sites, in units of the cell vectors:
Ce: 0.000 0.000 0.570
Pm: 0.667 0.333 0.434
Pm: 0.667 0.333 0.067
Pm: 0.000 0.000 0.927
Al: 0.333 0.667 0.500
Al: 0.333 0.667 0.003
Al: 0.504 0.008 0.750
Al: 0.504 0.496 0.750
Al: 0.992 0.496 0.750
Al: 0.162 0.324 0.250
Al: 0.162 0.838 0.250
Al: 0.676 0.838 0.250

Summary:
space-group type	P3m1
excess energy over the best structure of this formula in the dataset	13	meV/atom
D(E_F)	11.28	states/eV/f.u.
total magnetization	0.570	Bohr magnetons per cell
formation enthalpy at 0 K	-0.48	eV per atom

***

Question: What is the D(E_F) in the fourth record?
Answer: 0.25 states/eV/f.u.

***

Question: What is the D(E_F) in the second record?
Answer: 0.00 states/eV/f.u.